Entry one
A geometry-optimized LaErGe structure. Source: the Alexandria database, functional PBE-GGA.

Output
**DOS at the Fermi energy**: 7.45 states/eV per cell
**Space-group type**: P-1, No. 2
**Size of the total moment**: 0.0 Bohr magnetons per cell

a = 4.237 Å, b = 7.475 Å, c = 22.867 Å
α = 158.65°, β = 90.07°, γ = 106.38°
Positions (direct):
La 0.639 0.277 0.236
La 0.361 0.723 0.764
Er 0.019 0.040 0.303
Er 0.981 0.960 0.697
Ge 0.914 0.829 0.893
Ge 0.086 0.171 0.107

---

Entry two
A geometry-optimized LaErGe structure. Source: the Alexandria database, functional PBE-GGA.

Output
**DOS at the Fermi energy**: 3.99 states/eV per cell
**Space-group type**: I4mm, No. 107
**Size of the total moment**: 0.0 Bohr magnetons per cell

a = 3.914 Å, b = 3.914 Å, c = 5.924 Å
α = 109.29°, β = 109.29°, γ = 90.00°
Positions (direct):
Ge 0.638 0.638 0.275
Er 0.248 0.248 0.497
La 0.964 0.964 0.928

---

The data favor entry one; the next most stable structure lies 110 meV/atom above it.

---

Entry one
A geometry-optimized LaErGe2 structure. Source: the Alexandria database, functional PBE-GGA.

Output
**DOS at the Fermi energy**: 2.69 states/eV per cell
**Space-group type**: R-3m, No. 166
**Size of the total moment**: 0.0 Bohr magnetons per cell

a = 4.686 Å, b = 4.686 Å, c = 6.150 Å
α = 67.61°, β = 67.61°, γ = 60.00°
Positions (direct):
Ge 0.263 0.263 0.212
Ge 0.737 0.737 0.788
La 0.500 0.500 0.500
Er 0.000 0.000 0.000

---

Entry two
A geometry-optimized LaErGe2 structure. Source: the Alexandria database, functional PBE-GGA.

Output
**DOS at the Fermi energy**: 2.97 states/eV per cell
**Space-group type**: P4/mmm, No. 123
**Size of the total moment**: 0.0 Bohr magnetons per cell

a = 4.107 Å, b = 4.862 Å, c = 4.862 Å
α = 90.00°, β = 90.00°, γ = 90.00°
Positions (direct):
Ge 0.000 0.000 0.500
Ge 0.000 0.500 0.000
La 0.500 0.500 0.500
Er 0.500 0.000 0.000

---

The data favor entry one; the next most stable structure lies 65 meV/atom above it.

---

Entry one
A geometry-optimized ErMn3Ge3 structure. Source: the Alexandria database, functional PBE-GGA.

Output
**DOS at the Fermi energy**: 12.18 states/eV per cell
**Space-group type**: P6_3/m, No. 176
**Size of the total moment**: 0.0 Bohr magnetons per cell

a = 4.063 Å, b = 8.099 Å, c = 8.099 Å
α = 120.00°, β = 90.00°, γ = 90.00°
Positions (direct):
Er 0.250 0.667 0.333
Er 0.750 0.333 0.667
Mn 0.750 0.143 0.949
Mn 0.750 0.806 0.857
Mn 0.250 0.949 0.806
Mn 0.750 0.051 0.194
Mn 0.250 0.194 0.143
Mn 0.250 0.857 0.051
Ge 0.750 0.389 0.300
Ge 0.750 0.911 0.611
Ge 0.250 0.300 0.911
Ge 0.750 0.700 0.089
Ge 0.250 0.089 0.389
Ge 0.250 0.611 0.700

---

Entry two
A geometry-optimized ErMn3Ge3 structure. Source: the Alexandria database, functional PBE-GGA.

Output
**DOS at the Fermi energy**: 13.77 states/eV per cell
**Space-group type**: Fm-3m, No. 225
**Size of the total moment**: 0.0 Bohr magnetons per cell

a = 7.942 Å, b = 7.942 Å, c = 7.942 Å
α = 60.00°, β = 60.00°, γ = 60.00°
Positions (direct):
Er 0.250 0.250 0.250
Er 0.750 0.750 0.750
Mn 0.139 0.861 0.861
Mn 0.139 0.861 0.139
Mn 0.139 0.139 0.861
Mn 0.861 0.139 0.861
Mn 0.861 0.139 0.139
Mn 0.861 0.861 0.139
Ge 0.338 0.662 0.338
Ge 0.338 0.662 0.662
Ge 0.338 0.338 0.662
Ge 0.662 0.338 0.662
Ge 0.662 0.338 0.338
Ge 0.662 0.662 0.338

---

The data favor entry one; the next most stable structure lies 1141 meV/atom above it.